The following is a DFT calculation (PBE) of crystalline UAlRu at its relaxed geometry.

## Properties
Total magnetization: 0.01 μB/f.u.
Formation energy from the elements: -374 meV per atom
Electronic total energy: -50.855 eV/cell

Cell lengths 3.1220, 4.5523, 7.2381 Å; angles 90.00, 102.45, 90.00 degrees
Atoms (fractional coordinates):
Al 0.9242 0.7500 0.8484
Al 0.0758 0.2500 0.1516
Ru 0.4289 0.2500 0.8578
Ru 0.5711 0.7500 0.1422
U 0.2285 0.7500 0.4569
U 0.7715 0.2500 0.5431